[1]
Computed, not measured: an optimized crystal structure of K12Na3Cl5 at the GGA-PBE level of DFT.

POSCAR file:
```
K12Na3Cl5
1.0
-9.8042 -14.5655 -2.8087
14.4858 -0.5294 -10.2979
4.8922 0.6484 17.0825
Na Cl K
12 20 48
direct
0.7500 0.3750 0.1250
0.8750 0.7500 0.1250
0.3750 0.7500 0.6250
0.2500 0.1250 0.3750
0.8750 0.1250 0.2500
0.3750 0.6250 0.2500
0.6250 0.3750 0.7500
0.1250 0.8750 0.7500
0.7500 0.8750 0.6250
0.6250 0.2500 0.3750
0.1250 0.2500 0.8750
0.2500 0.6250 0.8750
0.1250 0.3750 0.2500
0.0000 0.5000 0.0000
0.0000 0.0000 0.0000
0.3750 0.2500 0.1250
0.5000 0.0000 0.5000
0.5000 0.5000 0.0000
0.1250 0.7500 0.3750
0.7500 0.1250 0.8750
0.7500 0.6250 0.3750
0.3750 0.1250 0.7500
0.6250 0.8750 0.2500
0.5000 0.5000 0.5000
0.5000 0.0000 0.0000
0.0000 0.0000 0.5000
0.2500 0.3750 0.6250
0.2500 0.8750 0.1250
0.0000 0.5000 0.5000
0.8750 0.2500 0.6250
0.6250 0.7500 0.8750
0.8750 0.6250 0.7500
0.6976 0.1131 0.0182
0.3206 0.5182 0.4051
0.9818 0.3869 0.3024
0.5182 0.1976 0.1131
0.5845 0.6976 0.6794
0.9818 0.5949 0.1794
0.3206 0.8024 0.4155
0.0949 0.9155 0.1131
0.5949 0.9818 0.6794
0.6976 0.5845 0.1794
0.8024 0.4818 0.3869
0.8206 0.9051 0.0182
0.1131 0.6976 0.5182
0.3869 0.4051 0.0845
0.0845 0.9051 0.3869
0.4155 0.1131 0.5949
0.0845 0.1794 0.1976
0.4818 0.6794 0.0949
0.8206 0.9155 0.3024
0.1131 0.4155 0.0949
0.3869 0.9818 0.8024
0.5949 0.6131 0.4155
0.9051 0.8206 0.5182
0.8024 0.3206 0.9155
0.4051 0.3869 0.5845
0.0949 0.1794 0.4818
0.1976 0.6794 0.0845
0.1794 0.0845 0.6976
0.6131 0.0182 0.1976
0.8869 0.5845 0.9051
0.5182 0.3206 0.9051
0.5845 0.8869 0.4051
0.9155 0.8206 0.8024
0.9155 0.0949 0.6131
0.8869 0.3024 0.4818
0.1794 0.0949 0.9818
0.6131 0.5949 0.9155
0.4051 0.0182 0.3206
0.3024 0.4155 0.8206
0.1976 0.5182 0.6131
0.9051 0.0845 0.8869
0.6794 0.1976 0.5845
0.4818 0.8024 0.8869
0.0182 0.4051 0.8206
0.4155 0.3024 0.3206
0.0182 0.6131 0.6976
0.6794 0.4818 0.5949
0.3024 0.8869 0.9818
```

V in Å³/f.u.: 1081.90
E_form (uncorrected) in meV per atom: -850

---

[2]
Computed, not measured: an optimized crystal structure of NaLiCl2 at the GGA-PBE level of DFT.

POSCAR file:
```
NaLiCl2
1.0
2.2915 0.0000 7.6817
-1.1458 1.9845 7.6817
-1.1458 -1.9845 7.6817
Na Li Cl
1 1 2
direct
0.0000 0.0000 0.0000
0.5000 0.5000 0.5000
0.8928 0.8928 0.8928
0.1072 0.1072 0.1072
```

V in Å³/f.u.: 104.80
E_form (uncorrected) in meV per atom: -1510

---

[3]
Computed, not measured: an optimized crystal structure of TaCuAs4 at the GGA-PBE level of DFT.

POSCAR file:
```
TaCuAs4
1.0
4.2847 -0.9174 3.1013
-0.1951 1.1188 5.2467
-0.0915 -3.9874 3.5931
Ta Cu As
1 1 4
direct
0.0000 0.0000 0.0000
0.7500 0.7500 0.7500
0.8761 0.3746 0.3746
0.3746 0.3746 0.8761
0.3746 0.8761 0.3746
0.3746 0.3746 0.3746
```

Formation energy in meV/atom: 710.0
V in Å³/f.u.: 109.39

---

[4]
Computed, not measured: an optimized crystal structure of Ba3LiIr2O8 at the GGA-PBE level of DFT.

POSCAR file:
```
Ba3LiIr2O8
1.0
5.7579 0.0000 0.0000
-2.8789 4.9865 0.0000
0.0000 0.0000 7.9009
Ba Li Ir O
3 1 2 8
direct
0.3333 0.6667 0.6235
0.6667 0.3333 0.3765
0.0000 0.0000 0.0000
0.0000 0.0000 0.5000
0.3333 0.6667 0.1868
0.6667 0.3333 0.8132
0.3333 0.6667 0.9565
0.6667 0.3333 0.0435
0.1736 0.8264 0.3273
0.8264 0.1736 0.6727
0.1736 0.3473 0.3273
0.8264 0.6527 0.6727
0.6527 0.8264 0.3273
0.3473 0.1736 0.6727
```

V in Å³/f.u.: 226.85
E_form (uncorrected) in meV per atom: -1541

---

[5]
Computed, not measured: an optimized crystal structure of CaAlTe2W at the GGA-PBE level of DFT.

POSCAR file:
```
CaAlTe2W
1.0
5.7816 0.0000 0.0000
0.0000 5.6677 0.0000
0.0000 0.0000 5.7816
Ca Te Al W
1 2 1 1
direct
0.0000 0.0000 0.0000
0.0000 0.0000 0.5000
0.5000 0.0000 0.0000
0.5000 0.5000 0.5000
0.0000 0.5000 0.0000
```

V in Å³/f.u.: 189.46
E_form (uncorrected) in meV per atom: 1437

---

[6]
Computed, not measured: an optimized crystal structure of TiTeMoN2 at the GGA-PBE level of DFT.

POSCAR file:
```
TiTeMoN2
1.0
3.9514 0.0000 0.0000
0.0000 3.9514 0.0000
0.0000 0.0000 5.6589
N Mo Te Ti
2 1 1 1
direct
0.0000 0.5000 0.0000
0.5000 0.0000 0.0000
0.5000 0.5000 0.5000
0.0000 0.0000 0.5000
0.0000 0.0000 0.0000
```

V in Å³/f.u.: 88.35
E_form (uncorrected) in meV per atom: 757
Energy above the most stable polymorph in this dataset in meV/atom: 262

---

[7]
Computed, not measured: an optimized crystal structure of CePu2GaN4 at the GGA-PBE level of DFT.

POSCAR file:
```
CePu2GaN4
1.0
3.4545 0.0000 0.0000
-1.7273 5.7900 0.0000
0.0000 0.0000 11.7144
Ce Pu Ga N
2 4 2 8
direct
0.1028 0.2055 0.7500
0.8972 0.7945 0.2500
0.3698 0.7397 0.5465
0.6302 0.2603 0.0465
0.6302 0.2603 0.4535
0.3698 0.7397 0.9535
0.8356 0.6712 0.7500
0.1644 0.3288 0.2500
0.2723 0.5446 0.1232
0.7277 0.4554 0.6232
0.7277 0.4554 0.8768
0.2723 0.5446 0.3768
0.0000 0.0000 0.5000
0.0000 0.0000 0.0000
0.4354 0.8709 0.7500
0.5646 0.1291 0.2500
```

V in Å³/f.u.: 117.15
E_form (uncorrected) in meV per atom: -978

---

[8]
Computed, not measured: an optimized crystal structure of PRhICl2 at the GGA-PBE level of DFT.

POSCAR file:
```
PRhICl2
1.0
5.4093 0.0000 0.0000
0.0000 5.4093 0.0000
0.0000 0.0000 5.2752
I P Rh Cl
1 1 1 2
direct
0.0000 0.0000 0.0000
0.0000 0.0000 0.5000
0.5000 0.5000 0.5000
0.0000 0.5000 0.0000
0.5000 0.0000 0.0000
```

V in Å³/f.u.: 154.35
E_form (uncorrected) in meV per atom: 1293
Energy above the most stable polymorph in this dataset in meV/atom: 1133

---

[9]
Computed, not measured: an optimized crystal structure of AcCrGe2 at the GGA-PBE level of DFT.

POSCAR file:
```
AcCrGe2
1.0
4.3409 0.0000 0.0000
2.1704 3.7593 0.0000
2.1704 1.2531 5.6034
Cr Ac Ge
1 1 2
direct
0.0000 0.0000 0.0000
0.5000 0.5000 0.5000
0.7143 0.7143 0.8570
0.2857 0.2857 0.1430
```

Formation energy in meV/atom: -317.6
V in Å³/f.u.: 91.44
Energy above the most stable polymorph in this dataset in meV/atom: 0

---

[10]
Computed, not measured: an optimized crystal structure of Mg6TiSnO8 at the GGA-PBE level of DFT.

POSCAR file:
```
Mg6TiSnO8
1.0
4.4469 0.0000 0.0000
0.0000 4.4469 0.0000
0.0000 0.0000 8.9626
Mg Ti Sn O
6 1 1 8
direct
0.5000 0.5000 0.0000
0.5000 0.5000 0.5000
0.0000 0.5000 0.2593
0.0000 0.5000 0.7407
0.5000 0.0000 0.2593
0.5000 0.0000 0.7407
0.0000 0.0000 0.5000
0.0000 0.0000 0.0000
0.0000 0.0000 0.2670
0.0000 0.0000 0.7330
0.5000 0.5000 0.2526
0.5000 0.5000 0.7474
0.0000 0.5000 0.0000
0.0000 0.5000 0.5000
0.5000 0.0000 0.0000
0.5000 0.0000 0.5000
```

V in Å³/f.u.: 177.23
E_form (uncorrected) in meV per atom: -2193
Energy above the most stable polymorph in this dataset in meV/atom: 20

---

[11]
Computed, not measured: an optimized crystal structure of TiB2Mo at the GGA-PBE level of DFT.

POSCAR file:
```
TiB2Mo
1.0
0.0000 2.7828 2.7828
2.7828 0.0000 2.7828
2.7828 2.7828 0.0000
Mo B Ti
1 2 1
direct
0.5000 0.5000 0.5000
0.2500 0.2500 0.2500
0.7500 0.7500 0.7500
0.0000 0.0000 0.0000
```

Formation energy in meV/atom: 82.3
V in Å³/f.u.: 43.10
Energy above the most stable polymorph in this dataset in meV/atom: 902

---

[12]
Computed, not measured: an optimized crystal structure of LaTlOs2 at the GGA-PBE level of DFT.

POSCAR file:
```
LaTlOs2
1.0
-4.0828 1.1128 -2.1436
-3.0335 -3.4262 -1.2498
-4.6566 -0.4086 3.3919
La Os Tl
1 2 1
direct
0.2500 0.2500 0.2500
0.0739 0.0739 0.7785
0.4261 0.4261 0.7215
0.7500 0.7500 0.7500
```

Formation energy in meV/atom: 372.0
V in Å³/f.u.: 99.00
Energy above the most stable polymorph in this dataset in meV/atom: 101

---

[13]
Computed, not measured: an optimized crystal structure of NaAcMoN3 at the GGA-PBE level of DFT.

POSCAR file:
```
NaAcMoN3
1.0
-3.6595 0.7230 -1.6850
0.7554 -6.8424 0.3950
-2.5954 2.3235 6.6337
Na Ac Mo N
2 2 2 6
direct
0.3402 0.6803 0.9288
0.6599 0.3197 0.0712
0.6479 0.2959 0.5803
0.3521 0.7041 0.4197
0.0039 0.0079 0.1961
0.9961 0.9921 0.8039
0.8623 0.7246 0.2027
0.8483 0.6967 0.6326
0.5080 0.0160 0.2141
0.1517 0.3033 0.3674
0.4920 0.9840 0.7859
0.1377 0.2754 0.7973
```

V in Å³/f.u.: 96.03
E_form (uncorrected) in meV per atom: -515

---

[14]
Computed, not measured: an optimized crystal structure of Gd2MgCd at the GGA-PBE level of DFT.

POSCAR file:
```
Gd2MgCd
1.0
-2.8384 4.1120 -1.9565
-4.0535 -0.9125 -3.3955
-5.0642 0.7665 1.5997
Mg Gd Cd
1 2 1
direct
0.0000 0.0000 0.0000
0.2500 0.2500 0.2500
0.7500 0.7500 0.7500
0.5000 0.5000 0.5000
```

Formation energy in meV/atom: -224.8
V in Å³/f.u.: 109.25
Energy above the most stable polymorph in this dataset in meV/atom: 2

---

[15]
Computed, not measured: an optimized crystal structure of Sr2Al9Ag6 at the GGA-PBE level of DFT.

POSCAR file:
```
Sr2Al9Ag6
1.0
-4.1331 -3.4449 1.5722
4.9497 -2.1007 -1.5840
4.3009 0.6064 12.6356
Sr Al Ag
2 9 6
direct
0.0000 0.0000 0.6640
0.0000 0.0000 0.3360
0.5000 0.0000 0.8367
0.0000 0.5000 0.8367
0.5000 0.5000 0.8367
0.5000 0.0000 0.1633
0.0000 0.5000 0.1633
0.5000 0.5000 0.1633
0.5000 0.0000 0.5000
0.0000 0.5000 0.5000
0.5000 0.5000 0.5000
0.3333 0.6667 0.0000
0.6667 0.3333 0.0000
0.3333 0.6667 0.6683
0.6667 0.3333 0.6683
0.6667 0.3333 0.3317
0.3333 0.6667 0.3317
```

Formation energy in meV/atom: -110.5
V in Å³/f.u.: 363.58

---

[16]
Computed, not measured: an optimized crystal structure of ScTaVAs2 at the GGA-PBE level of DFT.

POSCAR file:
```
ScTaVAs2
1.0
-2.7583 2.3097 3.3960
-4.1093 -0.7622 -2.8193
-0.7782 -4.3106 2.2997
Sc As V Ta
1 2 1 1
direct
0.0000 0.5000 0.0000
0.0000 0.0000 0.5000
0.5000 0.0000 0.0000
0.5000 0.5000 0.5000
0.0000 0.0000 0.0000
```

Formation energy in meV/atom: 985.2
V in Å³/f.u.: 123.39

---

[17]
Computed, not measured: an optimized crystal structure of Rb2Au2Se at the GGA-PBE level of DFT.

POSCAR file:
```
Rb2Au2Se
1.0
-3.1697 2.1119 5.6122
-2.6938 -6.1729 0.8014
0.0996 -3.0798 5.3137
Au Se Rb
2 1 2
direct
0.3316 0.3316 0.3368
0.6684 0.6684 0.6632
0.0000 0.0000 0.0000
0.7500 0.2500 0.5000
0.2500 0.7500 0.5000
```

V in Å³/f.u.: 176.56
E_form (uncorrected) in meV per atom: -532
Energy above the most stable polymorph in this dataset in meV/atom: 0

---

[18]
Computed, not measured: an optimized crystal structure of NdTm2S4 at the GGA-PBE level of DFT.

POSCAR file:
```
NdTm2S4
1.0
3.8438 0.0000 0.0000
0.0000 11.8108 0.0000
0.0000 0.0000 14.0716
Nd Tm S
4 8 16
direct
0.2500 0.7572 0.3311
0.7500 0.2428 0.6689
0.2500 0.2572 0.1689
0.7500 0.7428 0.8311
0.7500 0.0613 0.8889
0.2500 0.9387 0.1111
0.7500 0.5613 0.6111
0.2500 0.4387 0.3889
0.2500 0.4093 0.9050
0.7500 0.5907 0.0950
0.2500 0.9093 0.5950
0.7500 0.0907 0.4050
0.7500 0.0962 0.0773
0.2500 0.9038 0.9227
0.7500 0.5962 0.4227
0.2500 0.4038 0.5773
0.7500 0.9649 0.7166
0.2500 0.0351 0.2834
0.7500 0.4649 0.7834
0.2500 0.5351 0.2166
0.7500 0.3705 0.0369
0.2500 0.6295 0.9631
0.7500 0.8705 0.4631
0.2500 0.1295 0.5369
0.2500 0.2011 0.8221
0.7500 0.7989 0.1779
0.2500 0.7011 0.6779
0.7500 0.2989 0.3221
```

V in Å³/f.u.: 159.71
E_form (uncorrected) in meV per atom: -2053
Energy above the most stable polymorph in this dataset in meV/atom: 12

---

[19]
Computed, not measured: an optimized crystal structure of InSn3Ir at the GGA-PBE level of DFT.

POSCAR file:
```
InSn3Ir
1.0
4.5221 0.3767 0.0000
-0.5080 6.1464 0.0000
0.0000 0.0000 8.9651
In Sn Ir
2 6 2
direct
0.5008 0.7380 0.7500
0.4992 0.2620 0.2500
0.0008 0.7392 0.5035
0.9992 0.2608 0.4965
0.0008 0.7392 0.9965
0.9992 0.2608 0.0035
0.4998 0.2614 0.7500
0.5002 0.7386 0.2500
0.0004 0.0053 0.7500
0.9996 0.9947 0.2500
```

Formation energy in meV/atom: -106.7
V in Å³/f.u.: 125.45
Energy above the most stable polymorph in this dataset in meV/atom: 0

---

[20]
Computed, not measured: an optimized crystal structure of La4Dy3YS8 at the GGA-PBE level of DFT.

POSCAR file:
```
La4Dy3YS8
1.0
8.0062 0.0000 0.0000
0.0000 8.1219 0.0759
-4.0031 -3.9991 5.6642
La Dy Y S
4 3 1 8
direct
0.5000 0.0000 0.0000
0.5000 0.0000 0.5000
0.0000 0.0000 0.0000
0.0000 0.0000 0.5000
0.5000 0.5000 0.0000
0.5000 0.5000 0.5000
0.0000 0.5000 0.5000
0.0000 0.5000 0.0000
0.2434 0.7294 0.9860
0.2434 0.7294 0.4868
0.2570 0.2710 0.5140
0.7426 0.7294 0.9860
0.2574 0.2706 0.0140
0.7430 0.7290 0.4860
0.7566 0.2706 0.5132
0.7566 0.2706 0.0140
```

V in Å³/f.u.: 370.75
E_form (uncorrected) in meV per atom: -2085